*i*
YMo2Ru, single point on PBEsol structure, DFT SCAN; spin magnetization = 0.0000 μB/atom; SG = No. 44
1.0
-1.259 -1.405 2.552
2.419 -4.042 -1.031
2.838 4.140 1.705
Y Mo Ru
1 2 1
Cartesian
2.912 -1.316 0.712
0.152 0.063 0.110
1.046 -0.008 2.485
3.306 1.370 2.385

=====

*ii*
YMo2Ru, single point on PBEsol structure, DFT SCAN; spin magnetization = 0.0000 μB/atom; SG = No. 12
1.0
-0.549 -2.802 -0.104
3.363 0.330 3.912
-4.904 1.811 1.054
Ru Y Mo
1 1 2
Cartesian
-0.274 -1.401 -0.052
1.681 0.165 1.956
-2.452 0.905 0.527
-1.045 -0.330 2.431

=====

We find *i* to be the most stable, with the next structure 69 meV/atom higher.

=====

*i*
ZrMoRu2, single point on PBEsol structure, DFT SCAN; spin magnetization = 0.4701 μB/atom; SG = No. 216
1.0
-3.637 1.865 -1.742
-3.638 -2.453 -0.697
-3.607 0.612 2.520
Ru Zr Mo
2 1 1
Cartesian
-8.162 0.018 0.061
0.000 0.000 0.000
-2.721 0.006 0.020
-5.441 0.012 0.041

=====

*ii*
ZrMoRu2, single point on PBEsol structure, DFT SCAN; spin magnetization = 0.0000 μB/atom; SG = No. 47
1.0
3.205 0.000 0.000
0.000 4.238 0.000
0.000 0.000 4.575
Ru Zr Mo
2 1 1
Cartesian
1.602 0.000 2.288
0.000 0.000 0.000
1.602 2.119 0.000
0.000 2.119 2.288

=====

*iii*
ZrMoRu2, single point on PBEsol structure, DFT SCAN; spin magnetization = 0.0000 μB/atom; SG = No. 123
1.0
2.991 0.000 0.000
0.000 2.991 0.000
0.000 0.000 7.040
Ru Zr Mo
2 1 1
Cartesian
0.000 0.000 1.955
0.000 0.000 5.086
1.495 1.495 0.000
1.495 1.495 3.520

=====

We find *iii* to be the most stable, with the next structure 165 meV/atom higher.

=====

*i*
Sc2SbMo, single point on PBEsol structure, DFT SCAN; spin magnetization = 0.0002 μB/atom; SG = No. 8
1.0
3.752 0.000 0.000
0.000 4.460 -0.012
-1.876 -2.161 4.609
Sc Mo Sb
2 1 1
Cartesian
0.000 0.014 0.001
1.876 0.011 2.372
1.876 2.273 0.016
0.000 2.230 2.203

=====

*ii*
Sc2SbMo, single point on PBEsol structure, DFT SCAN; spin magnetization = 0.0005 μB/atom; SG = No. 35
1.0
-0.403 -2.613 -1.638
0.717 -0.833 2.909
-8.665 -0.002 2.134
Mo Sc Sb
1 2 1
Cartesian
-4.268 -0.001 1.051
-6.106 -1.725 2.178
-0.132 0.000 0.033
-2.176 -1.724 1.211

=====

*iii*
Sc2SbMo, single point on PBEsol structure, DFT SCAN; spin magnetization = 0.0005 μB/atom; SG = No. 216
1.0
-3.233 3.423 -0.278
-3.896 -0.215 2.650
-0.575 2.998 3.596
Mo Sc Sb
1 2 1
Cartesian
-3.852 3.103 2.984
-5.779 4.655 4.477
0.000 0.000 0.000
-1.926 1.552 1.492

=====

We find *i* to be the most stable, with the next structure 56 meV/atom higher.

=====

*i*
SiSbMo2, single point on PBEsol structure, DFT SCAN; spin magnetization = 0.0000 μB/atom; SG = No. 10
1.0
3.160 0.000 0.011
0.000 3.481 0.000
-0.907 0.000 5.908
Mo Si Sb
2 1 1
Cartesian
0.131 0.000 1.612
2.121 0.000 4.308
1.126 1.740 2.960
1.580 1.740 0.006

=====

*ii*
SiSbMo2, single point on PBEsol structure, DFT SCAN; spin magnetization = 0.0004 μB/atom; SG = No. 225
1.0
4.468 0.000 0.000
2.234 3.870 0.000
2.234 1.290 3.648
Mo Si Sb
2 1 1
Cartesian
6.702 3.870 2.736
2.234 1.290 0.912
0.000 0.000 0.000
4.468 2.580 1.824

=====

*iii*
SiSbMo2, single point on PBEsol structure, DFT SCAN; spin magnetization = 0.0000 μB/atom; SG = No. 8
1.0
-0.878 -0.195 3.054
-3.144 -3.187 -1.107
4.336 -2.112 -0.547
Mo Sb Si
2 1 1
Cartesian
0.600 -2.107 1.698
0.452 -5.273 1.454
2.445 -3.658 0.470
-0.543 -3.755 -0.395

=====

We find *iii* to be the most stable, with the next structure 68 meV/atom higher.